VRuNO2: relaxed, PBE with a Hubbard U. Values from VASP.

Summary:
**Space-group type**: P4/mmm (123)
**Total moment**: 0.405 Bohr magnetons per cell
**Fermi-level density of states**: 0.631 states/eV/atom
**Raw total energy**: -6.673 eV per atom

Cell and atoms, written as Quantum ESPRESSO input:
```
&SYSTEM
  ibrav = 0, nat = 5, ntyp = 4
/
ATOMIC_SPECIES
N 14.01 N.upf
O 16.00 O.upf
V 50.94 V.upf
Ru 101.07 Ru.upf
CELL_PARAMETERS angstrom
-2.312 -1.225 -2.283
-1.573 -3.870 3.669
-2.398 2.171 1.263
ATOMIC_POSITIONS angstrom
N -3.141 -1.462 1.324
O -1.199 1.086 0.631
V 0.000 0.000 0.000
Ru -0.786 -1.935 1.835
O -1.156 -0.613 -1.142
```